1.
A relaxed Pm5Pr4 crystal. Source: Alexandria, functional PBE.

abc: 5.2078 8.2287 8.2287
angles: 84.25 71.55 71.55
Closest atoms and distances in Å follow each position.
Fractional coordinates of all 9 atoms:
1 Pm 0.8338 0.9998 0.3325  6 Pm 3.67-3.69, 6 Pr 3.67-3.68
2 Pm 0.1662 0.0002 0.6675  6 Pm 3.67-3.69, 6 Pr 3.67-3.68
3 Pm 0.1664 0.6675 0.9998  6 Pm 3.67-3.69, 6 Pr 3.67-3.68
4 Pm 0.5000 0.0000 0.0000  4 Pr 3.66, 8 Pm 3.68
5 Pm 0.8336 0.3325 0.0002  6 Pm 3.67-3.69, 6 Pr 3.67-3.68
6 Pr 0.8319 0.6679 0.6682  7 Pm 3.66-3.68, 5 Pr 3.70-3.71
7 Pr 0.1681 0.3321 0.3318  7 Pm 3.66-3.68, 5 Pr 3.70-3.71
8 Pr 0.4999 0.6682 0.3321  7 Pm 3.66-3.68, 5 Pr 3.70-3.71
9 Pr 0.5001 0.3318 0.6679  7 Pm 3.66-3.68, 5 Pr 3.70-3.71

Output
DFT formation energy: 0.0135 eV per atom
DFT total energy: -4.750 eV/atom
magnetization: 0.000 μB/cell


2.
A relaxed Pm7Pr3 crystal. Source: Alexandria, functional PBE.

abc: 6.5133 11.1520 11.1520
angles: 120.00 90.00 90.00
Closest atoms and distances in Å follow each position.
Fractional coordinates of all 20 atoms:
1 Pm 0.4875 0.3333 0.6667  3 Pm 3.14, 3 Pr 3.41
2 Pm 0.2319 0.4711 0.5289  3 Pm 3.14-3.44, 4 Pr 3.42-3.50
3 Pm 0.8798 0.8830 0.1170  4 Pr 3.51-3.82, 4 Pm 3.79-3.91
4 Pm 0.2319 0.0578 0.5289  3 Pm 3.14-3.44, 4 Pr 3.42-3.50
5 Pm 0.2319 0.4711 0.9422  3 Pm 3.14-3.44, 4 Pr 3.42-3.50
6 Pm 0.8798 0.2340 0.1170  4 Pr 3.51-3.82, 4 Pm 3.79-3.91
7 Pm 0.3798 0.1170 0.2340  4 Pr 3.51-3.82, 4 Pm 3.79-3.91
8 Pm 0.7319 0.9422 0.4711  3 Pm 3.14-3.44, 4 Pr 3.42-3.50
9 Pm 0.9875 0.6667 0.3333  3 Pm 3.14, 3 Pr 3.41
10 Pm 0.3798 0.7660 0.8830  4 Pr 3.51-3.82, 4 Pm 3.79-3.91
11 Pm 0.3798 0.1170 0.8830  4 Pr 3.51-3.82, 4 Pm 3.79-3.91
12 Pm 0.7319 0.5289 0.0578  3 Pm 3.14-3.44, 4 Pr 3.42-3.50
13 Pm 0.7319 0.5289 0.4711  3 Pm 3.14-3.44, 4 Pr 3.42-3.50
14 Pm 0.8798 0.8830 0.7660  4 Pr 3.51-3.82, 4 Pm 3.79-3.91
15 Pr 0.8617 0.2095 0.7905  9 Pm 3.41-3.82
16 Pr 0.8617 0.2095 0.4191  9 Pm 3.41-3.82
17 Pr 0.8617 0.5809 0.7905  9 Pm 3.41-3.82
18 Pr 0.3617 0.4191 0.2095  9 Pm 3.41-3.82
19 Pr 0.3617 0.7905 0.2095  9 Pm 3.41-3.82
20 Pr 0.3617 0.7905 0.5809  9 Pm 3.41-3.82

Output
DFT formation energy: 0.1659 eV per atom
DFT total energy: -4.593 eV/atom
excess energy over the best structure of this formula in the dataset: 154 meV per atom
magnetization: 0.000 μB/cell


3.
A relaxed PmPr2 crystal. Source: Alexandria, functional PBE.

abc: 6.7628 6.7628 6.7628
angles: 60.00 60.00 60.00
Closest atoms and distances in Å follow each position.
Fractional coordinates of all 6 atoms:
1 Pr 0.6250 0.6250 0.1250  6 Pr 3.38
2 Pr 0.6250 0.1250 0.6250  6 Pr 3.38
3 Pr 0.1250 0.6250 0.6250  6 Pr 3.38
4 Pr 0.6250 0.6250 0.6250  6 Pr 3.38
5 Pm 0.2500 0.2500 0.2500  12 Pr 3.97, 4 Pm 4.14
6 Pm 0.0000 0.0000 0.0000  12 Pr 3.97, 4 Pm 4.14

Output
DFT formation energy: 0.2506 eV per atom
DFT total energy: -4.519 eV/atom
excess energy over the best structure of this formula in the dataset: 236 meV per atom
magnetization: 0.001 μB/cell


4.
A relaxed Pm2Pr3 crystal. Source: Alexandria, functional PBE.

abc: 3.6901 3.6901 15.1984
angles: 83.03 83.03 60.00
Closest atoms and distances in Å follow each position.
Fractional coordinates of all 5 atoms:
1 Pm 0.6994 0.6994 0.9018  9 Pm 3.64-3.69, 3 Pr 3.68
2 Pm 0.3006 0.3006 0.0982  9 Pm 3.64-3.69, 3 Pr 3.68
3 Pr 0.5000 0.5000 0.5000  12 Pr 3.69-3.72
4 Pr 0.0992 0.0992 0.7023  3 Pm 3.68, 9 Pr 3.69-3.72
5 Pr 0.9008 0.9008 0.2977  3 Pm 3.68, 9 Pr 3.69-3.72

Output
DFT formation energy: 0.0099 eV per atom
DFT total energy: -4.758 eV/atom
magnetization: 0.000 μB/cell


5.
A relaxed Pm3Pr13 crystal. Source: Alexandria, functional PBE.

abc: 7.3935 7.3935 10.4968
angles: 90.00 90.00 89.99
Closest atoms and distances in Å follow each position.
Fractional coordinates of all 16 atoms:
1 Pr 0.9995 0.4995 0.7507  3 Pm 3.69-3.70, 9 Pr 3.69-3.71
2 Pr 0.9995 0.4995 0.2493  3 Pm 3.69-3.70, 9 Pr 3.69-3.71
3 Pr 0.2487 0.2488 0.0000  4 Pm 3.68-3.71, 8 Pr 3.68-3.71
4 Pr 0.7509 0.7508 0.5000  10 Pr 3.68-3.72, 2 Pm 3.70
5 Pr 0.2489 0.7511 0.0000  10 Pr 3.68-3.71, 2 Pm 3.70
6 Pr 0.5005 0.4995 0.2493  11 Pr 3.69-3.72, 1 Pm 3.70
7 Pr 0.7512 0.7513 0.0000  4 Pm 3.68-3.71, 8 Pr 3.68-3.71
8 Pr 0.7511 0.2489 0.5000  10 Pr 3.68-3.71, 2 Pm 3.70
9 Pr 0.2490 0.7510 0.5000  10 Pr 3.68-3.72, 2 Pm 3.70
10 Pr 0.5005 0.0005 0.2493  3 Pm 3.69-3.70, 9 Pr 3.69-3.71
11 Pr 0.5005 0.0005 0.7507  3 Pm 3.69-3.70, 9 Pr 3.69-3.71
12 Pr 0.5005 0.4995 0.7507  11 Pr 3.69-3.72, 1 Pm 3.70
13 Pr 0.2492 0.2491 0.5000  10 Pr 3.68-3.72, 2 Pm 3.70
14 Pm 0.7510 0.2490 0.0000  10 Pr 3.68-3.71, 2 Pm 3.69
15 Pm 0.9995 0.0005 0.2495  11 Pr 3.69-3.70, 1 Pm 3.69
16 Pm 0.9995 0.0005 0.7505  11 Pr 3.69-3.70, 1 Pm 3.69

Output
DFT formation energy: 0.0120 eV per atom
DFT total energy: -4.762 eV/atom
magnetization: 0.000 μB/cell


6.
A relaxed Pm3Pr2 crystal. Source: Alexandria, functional PBE.

abc: 6.2521 6.2521 11.9546
angles: 74.84 74.84 60.00
Closest atoms and distances in Å follow each position.
Fractional coordinates of all 10 atoms:
1 Pr 0.8344 0.8344 0.4968  6 Pm 3.50-3.57, 3 Pr 3.61
2 Pr 0.1656 0.1656 0.5032  6 Pm 3.50-3.57, 3 Pr 3.61
3 Pr 0.6656 0.6656 0.0032  6 Pm 3.50-3.57, 3 Pr 3.61
4 Pr 0.3344 0.3344 0.9968  6 Pm 3.50-3.57, 3 Pr 3.61
5 Pm 0.4142 0.0858 0.7500  4 Pr 3.50-3.57, 6 Pm 3.60-3.64
6 Pm 0.5858 0.9142 0.2500  4 Pr 3.50-3.57, 6 Pm 3.60-3.64
7 Pm 0.7500 0.4142 0.7500  4 Pr 3.50-3.57, 6 Pm 3.60-3.64
8 Pm 0.2500 0.5858 0.2500  4 Pr 3.50-3.57, 6 Pm 3.60-3.64
9 Pm 0.9142 0.2500 0.2500  4 Pr 3.50-3.57, 6 Pm 3.60-3.64
10 Pm 0.0858 0.7500 0.7500  4 Pr 3.50-3.57, 6 Pm 3.60-3.64

Output
DFT formation energy: 0.3578 eV per atom
DFT total energy: -4.404 eV/atom
excess energy over the best structure of this formula in the dataset: 188 meV per atom
magnetization: 0.000 μB/cell


7.
A relaxed Pm8Pr3 crystal. Source: Alexandria, functional PBE.

abc: 5.1720 6.3712 13.2372
angles: 103.80 90.00 113.95
Closest atoms and distances in Å follow each position.
Fractional coordinates of all 11 atoms:
1 Pm 0.1819 0.3639 0.2727  8 Pm 3.66-3.68, 4 Pr 3.67-3.68
2 Pm 0.5453 0.0907 0.8184  4 Pr 3.66, 8 Pm 3.67-3.68
3 Pm 0.4547 0.9093 0.1816  4 Pr 3.66, 8 Pm 3.67-3.68
4 Pm 0.2729 0.5458 0.9092  8 Pm 3.66-3.67, 4 Pr 3.67-3.68
5 Pm 0.6366 0.2732 0.4545  7 Pm 3.66-3.68, 5 Pr 3.67-3.68
6 Pm 0.8181 0.6361 0.7273  8 Pm 3.66-3.68, 4 Pr 3.67-3.68
7 Pm 0.7271 0.4542 0.0908  8 Pm 3.66-3.67, 4 Pr 3.67-3.68
8 Pm 0.3634 0.7268 0.5455  7 Pm 3.66-3.68, 5 Pr 3.67-3.68
9 Pr 0.0911 0.1821 0.6370  11 Pm 3.66-3.68, 1 Pr 3.69
10 Pr 0.0000 0.0000 0.0000  12 Pm 3.66-3.68
11 Pr 0.9089 0.8179 0.3630  11 Pm 3.66-3.68, 1 Pr 3.69

Output
DFT formation energy: 0.0135 eV per atom
DFT total energy: -4.745 eV/atom
excess energy over the best structure of this formula in the dataset: 0 meV per atom
magnetization: 0.000 μB/cell


8.
A relaxed Pm3Pr7 crystal. Source: Alexandria, functional PBE.

abc: 6.4475 11.3336 11.3336
angles: 120.00 90.00 90.00
Closest atoms and distances in Å follow each position.
Fractional coordinates of all 20 atoms:
1 Pr 0.7391 0.5275 0.4725  3 Pr 3.09-3.40, 2 Pm 3.42
2 Pr 0.9626 0.6667 0.3333  3 Pr 3.09
3 Pr 0.2391 0.4725 0.5275  3 Pr 3.09-3.40, 2 Pm 3.42
4 Pr 0.8798 0.2327 0.1164  4 Pm 3.66-3.85, 8 Pr 3.85-3.96
5 Pr 0.7391 0.5275 0.0551  3 Pr 3.09-3.40, 2 Pm 3.42
6 Pr 0.2391 0.0551 0.5275  3 Pr 3.09-3.40, 2 Pm 3.42
7 Pr 0.3798 0.7673 0.8836  4 Pm 3.66-3.85, 8 Pr 3.85-3.96
8 Pr 0.8798 0.8836 0.7673  4 Pm 3.66-3.85, 8 Pr 3.85-3.96
9 Pr 0.8798 0.8836 0.1164  4 Pm 3.66-3.85, 8 Pr 3.85-3.96
10 Pr 0.7391 0.9449 0.4725  3 Pr 3.09-3.40, 2 Pm 3.42
11 Pr 0.3798 0.1164 0.8836  4 Pm 3.66-3.85, 8 Pr 3.85-3.96
12 Pr 0.4626 0.3333 0.6667  3 Pr 3.09
13 Pr 0.2391 0.4725 0.9449  3 Pr 3.09-3.40, 2 Pm 3.42
14 Pr 0.3798 0.1164 0.2327  4 Pm 3.66-3.85, 8 Pr 3.85-3.96
15 Pm 0.8630 0.5700 0.7850  8 Pr 3.42-3.67
16 Pm 0.8630 0.2150 0.4300  8 Pr 3.42-3.67
17 Pm 0.8630 0.2150 0.7850  8 Pr 3.42-3.67
18 Pm 0.3630 0.7850 0.5700  8 Pr 3.42-3.67
19 Pm 0.3630 0.7850 0.2150  8 Pr 3.42-3.67
20 Pm 0.3630 0.4300 0.2150  8 Pr 3.42-3.67

Output
DFT formation energy: 0.1585 eV per atom
DFT total energy: -4.612 eV/atom
excess energy over the best structure of this formula in the dataset: 149 meV per atom
magnetization: 0.000 μB/cell


9.
A relaxed Pm5Pr crystal. Source: Alexandria, functional PBE.

abc: 5.1742 5.1716 8.1968
angles: 108.39 90.00 90.00
Closest atoms and distances in Å follow each position.
Fractional coordinates of all 6 atoms:
1 Pm 0.5000 0.5000 0.0000  4 Pr 3.66, 8 Pm 3.67
2 Pm 0.0000 0.6673 0.3345  10 Pm 3.65-3.67, 2 Pr 3.67
3 Pm 0.5000 0.1670 0.3340  10 Pm 3.65-3.67, 2 Pr 3.67
4 Pm 0.0000 0.3327 0.6655  10 Pm 3.65-3.67, 2 Pr 3.67
5 Pm 0.5000 0.8330 0.6660  10 Pm 3.65-3.67, 2 Pr 3.67
6 Pr 0.0000 0.0000 0.0000  12 Pm 3.66-3.67

Output
DFT formation energy: 0.0136 eV per atom
DFT total energy: -4.742 eV/atom
magnetization: 0.000 μB/cell


10.
A relaxed PmPr3 crystal. Source: Alexandria, functional PBE.

abc: 5.8730 5.8730 5.8730
angles: 60.00 60.00 60.00
Closest atoms and distances in Å follow each position.
Fractional coordinates of all 4 atoms:
1 Pr 0.7500 0.7500 0.7500  4 Pr 3.60, 4 Pm 3.60
2 Pr 0.0000 0.0000 0.0000  8 Pr 3.60
3 Pr 0.2500 0.2500 0.2500  4 Pm 3.60, 4 Pr 3.60
4 Pm 0.5000 0.5000 0.5000  8 Pr 3.60

Output
DFT formation energy: 0.1288 eV per atom
DFT total energy: -4.643 eV/atom
excess energy over the best structure of this formula in the dataset: 117 meV per atom
magnetization: 0.001 μB/cell


11.
A relaxed Pm3Pr4 crystal. Source: Alexandria, functional PBE.

abc: 3.6912 3.6912 18.4617
angles: 95.74 95.74 90.00
Closest atoms and distances in Å follow each position.
Fractional coordinates of all 7 atoms:
1 Pm 0.0000 0.0000 0.0000  8 Pr 3.69, 4 Pm 3.69
2 Pm 0.7150 0.7150 0.4300  8 Pm 3.66-3.69, 4 Pr 3.69
3 Pm 0.2850 0.2850 0.5700  8 Pm 3.66-3.69, 4 Pr 3.69
4 Pr 0.5712 0.5712 0.1424  4 Pm 3.69, 8 Pr 3.69-3.72
5 Pr 0.4288 0.4288 0.8576  4 Pm 3.69, 8 Pr 3.69-3.72
6 Pr 0.8563 0.8563 0.7127  4 Pm 3.69, 8 Pr 3.69-3.72
7 Pr 0.1437 0.1437 0.2873  4 Pm 3.69, 8 Pr 3.69-3.72

Output
DFT formation energy: 0.0161 eV per atom
DFT total energy: -4.751 eV/atom
excess energy over the best structure of this formula in the dataset: 3 meV per atom
magnetization: 0.000 μB/cell


12.
A relaxed PmPr2 crystal. Source: Alexandria, functional PBE.

abc: 3.6954 3.6954 8.2698
angles: 102.91 102.91 90.00
Closest atoms and distances in Å follow each position.
Fractional coordinates of all 3 atoms:
1 Pr 0.3343 0.3343 0.6685  4 Pm 3.69, 8 Pr 3.70-3.72
2 Pr 0.6657 0.6657 0.3315  4 Pm 3.69, 8 Pr 3.70-3.72
3 Pm 0.0000 0.0000 0.0000  8 Pr 3.69, 4 Pm 3.70

Output
DFT formation energy: 0.0149 eV per atom
DFT total energy: -4.755 eV/atom
excess energy over the best structure of this formula in the dataset: 0 meV per atom
magnetization: 0.000 μB/cell